No. 1
Entry from OQMD: an optimized crystal structure of Na2TlOs (PBE).

```
Na2TlOs
1.0
2.258 -3.924 -1.637
2.850 -2.537 2.935
-1.366 -4.365 1.501
Na Os Tl
2 1 1
Direct
0.000 0.000 0.000 Na
0.750 0.750 0.750 Na
0.250 0.250 0.250 Os
0.500 0.500 0.500 Tl
```

Calculated values
The total magnetic moment comes out at 0.03 μB/atom. As for the raw total energy: -3.2972 eV/atom. The space-group type is F-43m, No. 216.

No. 2
Entry from OQMD: an optimized crystal structure of NaTl4Os (PBE).

```
NaTl4Os
1.0
2.437 1.407 8.168
-2.437 1.407 8.168
0.000 -2.814 8.168
Na Os Tl
1 1 4
Direct
0.000 0.000 0.000 Na
0.500 0.500 0.500 Os
0.137 0.137 0.137 Tl
0.388 0.388 0.388 Tl
0.612 0.612 0.612 Tl
0.863 0.863 0.863 Tl
```

Calculated values
The total magnetic moment comes out at 0.00 μB/atom. As for the raw total energy: -3.2060 eV/atom. The space-group type is R-3m, No. 166.

No. 3
Entry from OQMD: an optimized crystal structure of NaTlOsW (PBE).

```
NaTlOsW
1.0
0.000 3.268 3.268
3.268 0.000 3.268
3.268 3.268 0.000
Na Os Tl W
1 1 1 1
Direct
0.750 0.750 0.750 Na
0.000 0.000 0.000 Os
0.500 0.500 0.500 Tl
0.250 0.250 0.250 W
```

Calculated values
The total magnetic moment comes out at 0.00 μB/atom. The distance to the lowest polymorph of the same formula comes out at 0.1224 eV/atom. The space-group type is F-43m, No. 216.